# 1
Density functional theory data (PBE) for a relaxed Li2CdPd8 crystal.

a = 4.0756 Å, b = 6.8481 Å, c = 12.1997 Å
α = 90.00°, β = 90.00°, γ = 90.00°
Space group Immm (No. 71)
Symmetry-distinct sites (fractional):
Li: 0.0000 0.0000 0.1995
Cd: 0.0000 0.0000 0.5000
Pd: 0.0000 0.1939 0.0000
Pd: 0.0000 0.2877 0.3406
Pd: 0.0000 0.5000 0.1526

Properties
* ρ: 9.54 g/cm³
* E: -4.38 eV per atom
* DOS(E_F): 1.213 states/eV/atom
* M_tot: 0.00 μB/f.u.

# 2
Density functional theory data (PBE) for a relaxed LiPtN3 crystal.

a = 3.9096 Å, b = 3.9096 Å, c = 3.9096 Å
α = 90.00°, β = 90.00°, γ = 90.00°
Space group Pm-3m (No. 221)
Symmetry-distinct sites (fractional):
Li: 0.0000 0.0000 0.0000
Pt: 0.5000 0.5000 0.5000
N: 0.0000 0.5000 0.5000

Properties
* formation energy without anion corrections: 773 kJ/mol of formula units
* ρ: 6.78 g/cm³
* DOS(E_F): 1.984 states/eV/atom
* M_tot: 0.40 μB/f.u.

# 3
Density functional theory data (PBE) for a relaxed K2ErMnS4 crystal.

a = 7.8679 Å, b = 8.1333 Å, c = 11.8790 Å
α = 90.00°, β = 90.00°, γ = 90.00°
Space group Imma (No. 74)
Symmetry-distinct sites (fractional):
K: 0.0000 0.0000 0.0000
K: 0.2500 0.2500 0.2500
Er: 0.0000 0.0000 0.5000
Mn: 0.2500 0.2500 0.7500
S: 0.0000 0.0615 0.7377
S: 0.2232 0.2500 0.5081

Properties
* formation energy without anion corrections: -952 kJ/mol of formula units
* ρ: 3.75 g/cm³
* DOS(E_F): 0.112 states/eV/atom
* M_tot: 4.00 μB/f.u.

# 4
Density functional theory data (PBE) for a relaxed ReOs2WC crystal.

a = 4.0224 Å, b = 4.0224 Å, c = 4.1695 Å
α = 90.00°, β = 90.00°, γ = 90.00°
Space group P4/mmm (No. 123)
Symmetry-distinct sites (fractional):
Re: 0.0000 0.0000 0.0000
Os: 0.0000 0.5000 0.5000
W: 0.5000 0.5000 0.0000
C: 0.5000 0.5000 0.5000

Properties
* ρ: 18.77 g/cm³
* E: -11.02 eV per atom
* DOS(E_F): 0.983 states/eV/atom
* M_tot: 0.00 μB/f.u.

# 5
Density functional theory data (PBE) for a relaxed CaY4Cr crystal.

a = 9.2438 Å, b = 9.2438 Å, c = 9.2438 Å
α = 90.00°, β = 90.00°, γ = 90.00°
Space group F-43m (No. 216)
Symmetry-distinct sites (fractional):
Ca: 0.0000 0.0000 0.0000
Y: 0.1243 0.1243 0.3757
Cr: 0.2500 0.2500 0.7500

Properties
* ρ: 3.76 g/cm³
* E: -5.68 eV per atom
* DOS(E_F): 1.454 states/eV/atom
* M_tot: 4.78 μB/f.u.